Entry 1:
Below is Pa5ZnIr5 after structural relaxation, with properties calculated at the PBE level.

Calculated values
Calculated formation energy: -5.3 eV/f.u.
Symmetry: No. 12

Cell lengths 5.541, 6.791, 7.864 Å; angles 107.42, 90.00, 114.08 degrees
Positions (direct):
Pa1 0.678 0.356 0.331
Pa2 0.662 0.325 0.833
Pa3 0.000 0.000 0.500
Pa4 0.338 0.675 0.167
Pa5 0.322 0.644 0.669
Zn1 0.000 0.000 0.000
Ir1 0.845 0.690 0.165
Ir2 0.839 0.678 0.675
Ir3 0.500 0.000 0.000
Ir4 0.161 0.322 0.325
Ir5 0.155 0.310 0.835

=====

Entry 2:
Below is Pa2Zn3Ir2 after structural relaxation, with properties calculated at the PBE level.

Calculated values
Calculated formation energy: -3.3 eV/f.u.
Symmetry: No. 12

Cell lengths 4.446, 5.272, 6.398 Å; angles 101.07, 90.00, 114.94 degrees
Positions (direct):
Pa1 0.609 0.218 0.368
Pa2 0.391 0.782 0.632
Zn1 0.282 0.564 0.105
Zn2 0.000 0.000 0.000
Zn3 0.718 0.436 0.895
Ir1 0.121 0.241 0.674
Ir2 0.879 0.759 0.326

=====

Entry 3:
Below is Pa3Zn2Ir3 after structural relaxation, with properties calculated at the PBE level.

Calculated values
Calculated formation energy: -4.9 eV/f.u.
Symmetry: No. 193

Cell lengths 5.645, 8.124, 8.124 Å; angles 120.00, 90.00, 90.00 degrees
Positions (direct):
Pa1 0.750 0.270 0.000
Pa2 0.750 0.730 0.730
Pa3 0.750 0.000 0.270
Pa4 0.250 0.730 0.000
Pa5 0.250 0.270 0.270
Pa6 0.250 0.000 0.730
Zn1 0.000 0.333 0.667
Zn2 0.500 0.667 0.333
Zn3 0.000 0.667 0.333
Zn4 0.500 0.333 0.667
Ir1 0.750 0.620 0.000
Ir2 0.750 0.380 0.380
Ir3 0.750 0.000 0.620
Ir4 0.250 0.380 0.000
Ir5 0.250 0.620 0.620
Ir6 0.250 0.000 0.380